No. 1
First-principles (PBE) data for crystalline DyBeSi2Pt at its relaxed geometry, as listed in the Alexandria database.

**ρ**: 8.9 Mg/m³
**Total magnetization**: 0.0 Bohr magnetons per cell
**E_form (uncorrected)**: -0.82 eV per atom

```
5
Lattice="-1.9692 1.9692 5.1128 1.9692 -1.9692 5.1128 1.9692 1.9692 -5.1128" Properties=species:S:1:pos:R:3 pbc="T T T"
Dy 0.0000 0.0000 0.0000
Be 0.0000 1.9692 2.5564
Si 0.0000 0.0000 3.9370
Si 0.0000 0.0000 6.2886
Pt 1.9692 0.0000 2.5564
```

No. 2
First-principles (PBE) data for crystalline Er2PaFe at its relaxed geometry, as listed in the Alexandria database.

**ρ**: 10.5 Mg/m³
**Total magnetization**: 0.0 Bohr magnetons per cell
**Offset from the most stable computed form**: 0.000 eV per atom

```
16
Lattice="6.7573 0.0000 0.0000 0.0000 9.4515 0.0000 0.0000 0.0000 6.1383" Properties=species:S:1:pos:R:3 pbc="T T T"
Er 1.1561 0.6432 1.0699
Er 1.1561 4.0825 1.0699
Er 2.2226 5.3690 4.1390
Er 2.2226 8.8083 4.1390
Er 4.5348 0.6432 1.9992
Er 4.5348 4.0825 1.9992
Er 5.6013 5.3690 5.0684
Er 5.6013 8.8083 5.0684
Pa 0.3973 2.3629 4.1356
Pa 2.9813 7.0887 1.0664
Pa 3.7760 2.3629 5.0719
Pa 6.3600 7.0887 2.0027
Fe 0.9589 7.0887 0.0316
Fe 2.4197 2.3629 3.1008
Fe 4.3376 7.0887 3.0375
Fe 5.7984 2.3629 6.1066
```

No. 3
First-principles (PBE) data for crystalline CrNiBr2 at its relaxed geometry, as listed in the Alexandria database.

**ρ**: 5.0 Mg/m³
**Total magnetization**: 5.0 Bohr magnetons per cell
**E_form (uncorrected)**: 0.25 eV per atom
**Offset from the most stable computed form**: 0.350 eV per atom

```
4
Lattice="-1.8165 3.3959 3.6215 1.8165 -3.3959 3.6215 1.8165 3.3959 -3.6215" Properties=species:S:1:pos:R:3 pbc="T T T"
Cr 0.0000 0.0000 0.0000
Ni 0.0000 0.0000 3.6215
Br 1.8165 0.0000 1.9403
Br 0.0000 3.3959 1.6812
```

No. 4
First-principles (PBE) data for crystalline Pm3YAu3 at its relaxed geometry, as listed in the Alexandria database.

**DFT total energy**: -69.64 eV per cell
**ρ**: 9.5 Mg/m³
**Total magnetization**: 0.0 Bohr magnetons per cell

```
14
Lattice="4.8441 -5.4617 0.0000 4.8441 5.4617 0.0000 -0.1968 0.0000 7.3373" Properties=species:S:1:pos:R:3 pbc="T T T"
Pm 4.8441 3.5204 0.0000
Pm 4.7457 2.6690 3.6687
Pm 3.3997 0.0000 0.9762
Pm 6.0918 0.0000 6.3612
Pm 4.7457 -2.6690 3.6687
Pm 4.8441 -3.5204 0.0000
Y 2.3589 0.0000 4.6112
Y 7.1326 0.0000 2.7261
Au 2.3502 2.6549 5.6861
Au 0.5815 0.0000 2.2946
Au 7.1413 2.6549 1.6512
Au 2.3502 -2.6549 5.6861
Au 8.9099 0.0000 5.0427
Au 7.1413 -2.6549 1.6512
```

Among the records above, which one has the lowest ρ?
CrNiBr2

Among the records above, which one has the lowest ρ?
CrNiBr2

Which of these has the highest total magnetization?
CrNiBr2